Entry 1:
# SbAsW2 | Alexandria | PBE | relaxed
data_SbAsW2
_cell_length_a 6.5901
_cell_length_b 6.5901
_cell_length_c 6.5901
_cell_angle_alpha 148.79
_cell_angle_beta 150.09
_cell_angle_gamma 43.77
_space_group_name_H-M_alt 'P 1'
_space_group_IT_number 1
loop_
_space_group_symop_operation_xyz
'x,y,z'
loop_
_atom_site_label
_atom_site_fract_x
_atom_site_fract_y
_atom_site_fract_z
Sb1 0.2930 0.7930 0.5000
As1 0.5417 0.5417 0.0000
W1 0.9732 0.9732 0.0000
W2 0.6921 0.1921 0.5000
# magnetic moment = 0.000 μB/cell
# mass density = 12710 kg/m3
# energy relative to the elements, uncorrected = 450.5 meV per atom
# electronic total energy = -8.2191 eV per atom
# SG = Imm2, No. 44


Entry 2:
# SbAsW2 | Alexandria | PBE | relaxed
data_SbAsW2
_cell_length_a 10.5106
_cell_length_b 10.5106
_cell_length_c 10.5106
_cell_angle_alpha 16.83
_cell_angle_beta 16.83
_cell_angle_gamma 16.83
_space_group_name_H-M_alt 'P 1'
_space_group_IT_number 1
loop_
_space_group_symop_operation_xyz
'x,y,z'
loop_
_atom_site_label
_atom_site_fract_x
_atom_site_fract_y
_atom_site_fract_z
Sb1 0.7292 0.7292 0.7292
As1 0.5260 0.5260 0.5260
W1 0.9888 0.9888 0.9888
W2 0.2560 0.2560 0.2560
# magnetic moment = 0.000 μB/cell
# mass density = 11038 kg/m3
# energy relative to the elements, uncorrected = 269.7 meV per atom
# electronic total energy = -8.3999 eV per atom
# SG = R3m, No. 160


Entry 3:
# SbAsW2 | Alexandria | PBE | relaxed
data_SbAsW2
_cell_length_a 3.2251
_cell_length_b 3.2251
_cell_length_c 6.5526
_cell_angle_alpha 90.00
_cell_angle_beta 90.00
_cell_angle_gamma 90.00
_space_group_name_H-M_alt 'P 1'
_space_group_IT_number 1
loop_
_space_group_symop_operation_xyz
'x,y,z'
loop_
_atom_site_label
_atom_site_fract_x
_atom_site_fract_y
_atom_site_fract_z
Sb1 0.5000 0.5000 0.7500
As1 0.5000 0.5000 0.2500
W1 0.0000 0.0000 0.0304
W2 0.0000 0.0000 0.4696
# magnetic moment = 0.000 μB/cell
# mass density = 13750 kg/m3
# energy relative to the elements, uncorrected = 458.7 meV per atom
# electronic total energy = -8.2109 eV per atom
# SG = P4/mmm, No. 123


Entry 4:
# SbAsW2 | Alexandria | PBE | relaxed
data_SbAsW2
_cell_length_a 3.0662
_cell_length_b 3.0662
_cell_length_c 8.4420
_cell_angle_alpha 90.00
_cell_angle_beta 90.00
_cell_angle_gamma 114.85
_space_group_name_H-M_alt 'P 1'
_space_group_IT_number 1
loop_
_space_group_symop_operation_xyz
'x,y,z'
loop_
_atom_site_label
_atom_site_fract_x
_atom_site_fract_y
_atom_site_fract_z
Sb1 0.5000 0.5000 0.7500
As1 0.5000 0.5000 0.2500
W1 0.0000 0.0000 0.0206
W2 0.0000 0.0000 0.4794
# magnetic moment = 0.000 μB/cell
# mass density = 13012 kg/m3
# energy relative to the elements, uncorrected = 818.9 meV per atom
# electronic total energy = -7.8507 eV per atom
# SG = Cmmm, No. 65


Entry 5:
# Sb2AsW | Alexandria | PBE | relaxed
data_Sb2AsW
_cell_length_a 3.3316
_cell_length_b 3.3316
_cell_length_c 7.9133
_cell_angle_alpha 90.00
_cell_angle_beta 90.00
_cell_angle_gamma 90.00
_space_group_name_H-M_alt 'P 1'
_space_group_IT_number 1
loop_
_space_group_symop_operation_xyz
'x,y,z'
loop_
_atom_site_label
_atom_site_fract_x
_atom_site_fract_y
_atom_site_fract_z
Sb1 0.0000 0.0000 0.9360
Sb2 0.5000 0.5000 0.3170
As1 0.5000 0.5000 0.6986
W1 0.0000 0.0000 0.5484
# magnetic moment = 0.000 μB/cell
# mass density = 9496 kg/m3
# energy relative to the elements, uncorrected = 220.6 meV per atom
# electronic total energy = -6.2412 eV per atom
# SG = P4mm, No. 99


Entry 6:
# SbAsW2 | Alexandria | PBE | relaxed
data_SbAsW2
_cell_length_a 4.5805
_cell_length_b 4.5805
_cell_length_c 4.5805
_cell_angle_alpha 60.00
_cell_angle_beta 60.00
_cell_angle_gamma 60.00
_space_group_name_H-M_alt 'P 1'
_space_group_IT_number 1
loop_
_space_group_symop_operation_xyz
'x,y,z'
loop_
_atom_site_label
_atom_site_fract_x
_atom_site_fract_y
_atom_site_fract_z
Sb1 0.5000 0.5000 0.5000
As1 0.0000 0.0000 0.0000
W1 0.2500 0.2500 0.2500
W2 0.7500 0.7500 0.7500
# magnetic moment = 0.000 μB/cell
# mass density = 13791 kg/m3
# energy relative to the elements, uncorrected = 531.3 meV per atom
# electronic total energy = -8.1383 eV per atom
# SG = Fm-3m, No. 225